A plane-wave DFT calculation with GGA+U was carried out for a relaxed AlSi2MoO crystal.

final energy: -5.106 eV per atom

a b c (Å): 4.289 4.259 4.289
angles (deg): 90.00 90.00 90.00
Each line ends with the local moment (μB).
Atoms (fractional coordinates):
Mo1 0.000 0.500 0.000  3.01
Si1 0.000 0.000 0.500  -0.03
Si2 0.500 0.000 0.000  -0.01
O1 0.000 0.000 0.000  0.04
Al1 0.500 0.500 0.500  -0.04